Re3AgCl: optimized geometry, PBE.

Calculated values
DOS at the Fermi energy: 6.167 states/eV per cell
Formation energy from raw total energies: 1.767 eV/atom
Crystal system: cubic
Symmetry: Pm-3m, No. 221
Energy above the most stable polymorph in this dataset: 0.0 kJ per mole of atoms

Cell and atoms, written as POSCAR:
```
Re3AgCl
1.0
4.366 0.000 0.000
0.000 4.366 0.000
0.000 0.000 4.366
Re Ag Cl
3 1 1
Direct
0.000 0.500 0.000 Re
0.000 0.000 0.500 Re
0.500 0.000 0.000 Re
0.500 0.500 0.500 Ag
0.000 0.000 0.000 Cl
```

NdSmZnSi: optimized geometry, PBE.

Calculated values
DOS at the Fermi energy: 4.114 states/eV per cell
Formation energy from raw total energies: -0.522 eV/atom
Crystal system: orthorhombic
Symmetry: Amm2, No. 38
Energy above the most stable polymorph in this dataset: 0.0 kJ per mole of atoms

Cell and atoms, written as POSCAR:
```
NdSmZnSi
1.0
-1.752 -3.850 0.910
3.360 -1.888 -1.519
3.213 2.047 4.563
Nd Sm Zn Si
1 1 1 1
Direct
0.142 0.000 0.283 Nd
0.857 0.500 0.713 Sm
0.433 0.000 0.865 Zn
0.569 0.500 0.138 Si
```

Ca2Cu2Sb: optimized geometry, PBE.

Calculated values
DOS at the Fermi energy: 5.699 states/eV per cell
Formation energy from raw total energies: -0.217 eV/atom
Crystal system: tetragonal
Symmetry: I4/mmm, No. 139
Energy above the most stable polymorph in this dataset: 17.6 kJ per mole of atoms

Cell and atoms, written as POSCAR:
```
Ca2Cu2Sb
1.0
-3.851 3.960 1.443
-4.119 -3.119 -2.431
-4.580 -1.358 2.798
Sb Ca Cu
1 2 2
Direct
0.000 0.000 0.000 Sb
0.750 0.250 0.500 Ca
0.250 0.750 0.500 Ca
0.349 0.349 0.301 Cu
0.651 0.651 0.699 Cu
```